Entry 1:
Density functional theory data (PBE) for TlTe2Ru2 after structural relaxation.

Structure (POSCAR):
```
TlTe2Ru2
1.0
4.2615 0.0000 0.0000
0.0000 4.2615 0.0000
2.1308 2.1308 6.9493
Te Ru Tl
2 2 1
direct
0.6443 0.6443 0.7114
0.3557 0.3557 0.2886
0.7500 0.2500 0.5000
0.2500 0.7500 0.5000
0.0000 0.0000 0.0000
```

Summary:
formation energy from raw total energies = -0.07 eV/atom
DOS at the Fermi energy = 0.30 states/eV per atom
spin magnetization = 0.0 μB per cell

Entry 2:
Density functional theory data (PBE) for TlTe2Ru after structural relaxation.

Structure (POSCAR):
```
TlTe2Ru
1.0
-2.2499 5.9868 1.8909
-2.6890 3.9806 4.6265
2.8672 4.1168 3.4795
Tl Te Ru
1 2 1
direct
0.5638 0.5638 0.5022
0.9123 0.9123 0.1549
0.7281 0.7281 0.8093
0.2959 0.2959 0.0337
```

Summary:
polymorph energy (0 for the lowest one) = 66 kJ/mol of formula units
formation energy from raw total energies = 0.07 eV/atom
DOS at the Fermi energy = 0.73 states/eV per atom
spin magnetization = 0.3 μB per cell

Entry 3:
Density functional theory data (PBE) for TlTe2Ru after structural relaxation.

Structure (POSCAR):
```
TlTe2Ru
1.0
-1.8531 0.2244 3.3484
-4.6204 -1.4053 -2.4629
0.9308 -4.4905 0.8161
Ru Te Tl
1 2 1
direct
0.0000 0.5000 0.5000
0.5000 0.5000 0.0000
0.0000 0.0000 0.0000
0.5000 0.0000 0.5000
```

Summary:
polymorph energy (0 for the lowest one) = 300 kJ/mol of formula units
formation energy from raw total energies = 0.67 eV/atom
DOS at the Fermi energy = 1.01 states/eV per atom
spin magnetization = 1.0 μB per cell

Entry 4:
Density functional theory data (PBE) for Tl2TeRu after structural relaxation.

Structure (POSCAR):
```
Tl2TeRu
1.0
3.7535 0.0000 0.0000
0.0000 4.6534 0.0000
0.0000 0.0000 5.6657
Tl Ru Te
2 1 1
direct
0.5000 0.5000 0.0000
0.0000 0.0000 0.0000
0.5000 0.0000 0.5000
0.0000 0.5000 0.5000
```

Summary:
polymorph energy (0 for the lowest one) = 177 kJ/mol of formula units
formation energy from raw total energies = 0.59 eV/atom
DOS at the Fermi energy = 1.07 states/eV per atom
spin magnetization = 1.6 μB per cell

Question: Which formula does entry 2 have?
Answer: TlTe2Ru

What did the second record say?
Density functional theory data (PBE) for TlTe2Ru after structural relaxation.

Structure (POSCAR):
```
TlTe2Ru
1.0
-2.2499 5.9868 1.8909
-2.6890 3.9806 4.6265
2.8672 4.1168 3.4795
Tl Te Ru
1 2 1
direct
0.5638 0.5638 0.5022
0.9123 0.9123 0.1549
0.7281 0.7281 0.8093
0.2959 0.2959 0.0337
```

Summary:
polymorph energy (0 for the lowest one) = 66 kJ/mol of formula units
formation energy from raw total energies = 0.07 eV/atom
DOS at the Fermi energy = 0.73 states/eV per atom
spin magnetization = 0.3 μB per cell

Question: formation energy from raw total energies of number 3 (TlTe2Ru)?
Answer: 0.67 eV/atom

Question: Which value of formation energy from raw total energies does entry 1 give?
Answer: -0.07 eV/atom